Record 1
Crystalline Tl4InPd15 at its relaxed geometry. Source: Alexandria via LeMat-Bulk, functional PBE.

Cell lengths 4.059, 4.059, 20.562 Å; angles 90.00, 90.00, 90.00 degrees
Space group P4/mmm (No. 123)
Unique sites:
Tl1 0.000 0.000 0.101
Tl2 0.000 0.000 0.301
In1 0.000 0.000 0.500
Pd1 0.000 0.500 0.000
Pd2 0.000 0.500 0.201
Pd3 0.000 0.500 0.403
Pd4 0.500 0.500 0.101
Pd5 0.500 0.500 0.302
Pd6 0.500 0.500 0.500

The calculation puts the magnetization at 0.0 μB per cell. The total energy comes out at -94.7 eV per cell. For the energy of formation from the pure elements, the calculation gives -0.2294 eV per atom.

=====

Record 2
Crystalline Hf2Mg2Ag at its relaxed geometry. Source: Alexandria via LeMat-Bulk, functional PBE.

Cell lengths 6.625, 6.625, 4.779 Å; angles 90.00, 90.00, 90.00 degrees
Space group P4/mbm (No. 127)
Unique sites:
Hf1 0.167 0.333 0.000
Mg1 0.141 0.641 0.500
Ag1 0.000 0.000 0.500

The calculation puts the magnetization at 0.0 μB per cell. The total energy comes out at -49.4 eV per cell. For the energy of formation from the pure elements, the calculation gives 0.2470 eV per atom.

=====

Question: Which value of magnetization does entry 1 give?
Answer: 0.0 μB per cell